1.
! SrZr2P (PBE-GGA, relaxed); values from VASP
&SYSTEM
  ibrav = 0, nat = 4, ntyp = 3
/
ATOMIC_SPECIES
Sr 87.62 Sr.upf
Zr 91.22 Zr.upf
P 30.97 P.upf
ATOMIC_POSITIONS crystal
Sr 0.000 0.000 0.000
Zr 0.315 0.815 0.500
Zr 0.671 0.671 0.000
P 0.807 0.307 0.500
CELL_PARAMETERS angstrom
-1.756 1.999 7.678
1.756 -1.999 7.678
1.756 1.999 -7.678
! Total moment   0.000 μB per atom
! Volume   27.0 Å³/atom
! Space-group type   Imm2
! VASP energy   -25.3 eV for the cell shown
! DFT formation energy   -0.281 eV per atom



2.
! Sr2Zr2P (PBE-GGA, relaxed); values from VASP
&SYSTEM
  ibrav = 0, nat = 5, ntyp = 3
/
ATOMIC_SPECIES
Sr 87.62 Sr.upf
Zr 91.22 Zr.upf
P 30.97 P.upf
ATOMIC_POSITIONS crystal
Sr 0.250 0.750 0.500
Sr 0.750 0.250 0.500
Zr 0.073 0.073 0.000
Zr 0.927 0.927 0.000
P 0.500 0.500 0.000
CELL_PARAMETERS angstrom
-2.097 2.097 8.177
2.097 -2.097 8.177
2.097 2.097 -8.177
! Total moment   0.000 μB per atom
! Volume   28.8 Å³/atom
! Space-group type   I4/mmm
! VASP energy   -21.4 eV for the cell shown
! DFT formation energy   0.893 eV per atom



3.
! SrZr2P (PBE-GGA, relaxed); values from VASP
&SYSTEM
  ibrav = 0, nat = 4, ntyp = 3
/
ATOMIC_SPECIES
Sr 87.62 Sr.upf
Zr 91.22 Zr.upf
P 30.97 P.upf
ATOMIC_POSITIONS crystal
Sr 0.000 0.000 0.000
Zr 0.184 0.184 0.683
Zr 0.816 0.816 0.317
P 0.500 0.500 0.500
CELL_PARAMETERS angstrom
5.938 -1.727 0.000
5.938 1.727 0.000
-2.515 0.000 4.873
! Total moment   0.000 μB per atom
! Volume   25.0 Å³/atom
! Space-group type   C2/m
! VASP energy   -25.5 eV for the cell shown
! DFT formation energy   -0.335 eV per atom



4.
! SrZrP2 (PBE-GGA, relaxed); values from VASP
&SYSTEM
  ibrav = 0, nat = 4, ntyp = 3
/
ATOMIC_SPECIES
Sr 87.62 Sr.upf
Zr 91.22 Zr.upf
P 30.97 P.upf
ATOMIC_POSITIONS crystal
Sr 0.000 0.000 0.000
Zr 0.000 0.000 0.500
P 0.500 0.500 0.292
P 0.500 0.500 0.708
CELL_PARAMETERS angstrom
3.390 0.000 0.000
0.000 3.390 0.000
0.000 0.000 7.268
! Total moment   0.000 μB per atom
! Volume   20.9 Å³/atom
! Space-group type   P4/mmm
! VASP energy   -24.4 eV for the cell shown
! DFT formation energy   -0.834 eV per atom



5.
! Sr2ZrP (PBE-GGA, relaxed); values from VASP
&SYSTEM
  ibrav = 0, nat = 8, ntyp = 3
/
ATOMIC_SPECIES
Sr 87.62 Sr.upf
Zr 91.22 Zr.upf
P 30.97 P.upf
ATOMIC_POSITIONS crystal
Sr 0.375 0.021 0.146
Sr 0.771 0.625 0.646
Sr 0.875 0.229 0.854
Sr 0.979 0.125 0.354
Zr 0.250 0.750 0.500
Zr 0.500 0.500 0.000
P 0.000 0.000 0.000
P 0.750 0.250 0.500
CELL_PARAMETERS angstrom
-5.498 5.498 2.532
5.498 -5.498 2.532
5.498 5.498 -2.532
! Total moment   0.285 μB per atom
! Volume   38.3 Å³/atom
! Space-group type   I-42d
! VASP energy   -35.6 eV for the cell shown
! DFT formation energy   -0.119 eV per atom



6.
! SrZrP (PBE-GGA, relaxed); values from VASP
&SYSTEM
  ibrav = 0, nat = 3, ntyp = 3
/
ATOMIC_SPECIES
Sr 87.62 Sr.upf
Zr 91.22 Zr.upf
P 30.97 P.upf
ATOMIC_POSITIONS crystal
Sr 0.000 0.000 0.000
Zr 0.667 0.333 0.500
P 0.333 0.667 0.500
CELL_PARAMETERS angstrom
4.456 0.000 0.000
-2.228 3.859 0.000
0.000 0.000 4.893
! Total moment   0.142 μB per atom
! Volume   28.0 Å³/atom
! Space-group type   P-6m2
! VASP energy   -17.0 eV for the cell shown
! DFT formation energy   -0.442 eV per atom



Please write out number 5 again, unchanged.
! Sr2ZrP (PBE-GGA, relaxed); values from VASP
&SYSTEM
  ibrav = 0, nat = 8, ntyp = 3
/
ATOMIC_SPECIES
Sr 87.62 Sr.upf
Zr 91.22 Zr.upf
P 30.97 P.upf
ATOMIC_POSITIONS crystal
Sr 0.375 0.021 0.146
Sr 0.771 0.625 0.646
Sr 0.875 0.229 0.854
Sr 0.979 0.125 0.354
Zr 0.250 0.750 0.500
Zr 0.500 0.500 0.000
P 0.000 0.000 0.000
P 0.750 0.250 0.500
CELL_PARAMETERS angstrom
-5.498 5.498 2.532
5.498 -5.498 2.532
5.498 5.498 -2.532
! Total moment   0.285 μB per atom
! Volume   38.3 Å³/atom
! Space-group type   I-42d
! VASP energy   -35.6 eV for the cell shown
! DFT formation energy   -0.119 eV per atom